Entry 1:
Computed, not measured: Dy2YTm2Lu2Ni2Se2 after structural relaxation at the GGA-PBE level of DFT.

The value obtained for the total energy is -5.529 eV/atom. The volume is 519.03 Å³/cell. The magnetization comes out at 0.00 μB/cell. The calculation puts the mass density at 8.8 Mg/m³.

It has space group Imm2 (No. 44), with a = 3.776 Å, b = 14.962 Å, c = 9.186 Å, α = 90.00°, β = 90.00° and γ = 90.00°. The distinct sites, in fractional coordinates, are Dy at (0.000, 0.142, 0.000), Y at (0.000, 0.500, 0.743), Tm at (0.000, 0.183, 0.361), Lu at (0.000, 0.374, 0.155), Ni at (0.000, 0.259, 0.667), Se at (0.000, 0.000, 0.504) and Se at (0.000, 0.500, 0.399).

=====

Entry 2:
Computed, not measured: Pa after structural relaxation at the GGA-PBE level of DFT.

The value obtained for the energy of formation from the pure elements is 30 meV per atom. The value obtained for the total energy is -9.466 eV/atom. The volume is 494.00 Å³/cell. The magnetization comes out at 0.03 μB/cell. The calculation puts the mass density at 15.5 Mg/m³. The excess energy over the best structure of this formula in the dataset is 30 meV/atom.

It has space group P4_132 (No. 213), with a = 7.905 Å, b = 7.905 Å, c = 7.905 Å, α = 90.00°, β = 90.00° and γ = 90.00°. The distinct sites, in fractional coordinates, are Pa at (0.049, 0.125, 0.799) and Pa at (0.065, 0.935, 0.435).

=====

Entry 3:
Computed, not measured: BaTaNO after structural relaxation at the GGA-PBE level of DFT.

The value obtained for the total energy is -8.326 eV/atom. The volume is 147.56 Å³/cell. The magnetization comes out at 0.00 μB/cell. The calculation puts the mass density at 7.8 Mg/m³. The excess energy over the best structure of this formula in the dataset is 0 meV/atom.

It has space group Pmma (No. 51), with a = 6.101 Å, b = 3.997 Å, c = 6.051 Å, α = 90.00°, β = 90.00° and γ = 90.00°. The distinct sites, in fractional coordinates, are Ba at (0.250, 0.000, 0.222), Ta at (0.250, 0.500, 0.703), N at (0.000, 0.500, 0.500) and O at (0.250, 0.000, 0.765).

=====

Entry 4:
Computed, not measured: PrTePO after structural relaxation at the GGA-PBE level of DFT.

The value obtained for the total energy is -5.409 eV/atom. The volume is 177.35 Å³/cell. The magnetization comes out at 0.00 μB/cell. The calculation puts the mass density at 5.9 Mg/m³. The excess energy over the best structure of this formula in the dataset is 397 meV/atom.

It has space group P4/nmm (No. 129, origin choice 2), with a = 5.906 Å, b = 5.906 Å, c = 5.085 Å, α = 90.00°, β = 90.00° and γ = 90.00°. The distinct sites, in fractional coordinates, are Pr at (0.250, 0.750, 0.000), Te at (0.250, 0.250, 0.497), P at (0.250, 0.250, 0.984) and O at (0.250, 0.750, 0.500).

=====

Entry 5:
Computed, not measured: Dy2ErCu4Si2Sn2 after structural relaxation at the GGA-PBE level of DFT.

The value obtained for the total energy is -4.906 eV/atom. The volume is 410.30 Å³/cell. The magnetization comes out at 0.01 μB/cell. The calculation puts the mass density at 8.4 Mg/m³.

It has space group Immm (No. 71), with a = 4.319 Å, b = 6.617 Å, c = 14.356 Å, α = 90.00°, β = 90.00° and γ = 90.00°. The distinct sites, in fractional coordinates, are Dy at (0.000, 0.000, 0.124), Er at (0.000, 0.500, 0.000), Cu at (0.000, 0.191, 0.346), Si at (0.000, 0.317, 0.500) and Sn at (0.000, 0.500, 0.218).

=====

Entry 6:
Computed, not measured: BaZrBePt after structural relaxation at the GGA-PBE level of DFT.

The value obtained for the total energy is -4.800 eV/atom. The volume is 365.14 Å³/cell. The magnetization comes out at 0.00 μB/cell. The calculation puts the mass density at 7.9 Mg/m³. The excess energy over the best structure of this formula in the dataset is 68 meV/atom.

It has space group F-43m (No. 216), with a = 7.147 Å, b = 7.147 Å, c = 7.147 Å, α = 90.00°, β = 90.00° and γ = 90.00°. The distinct sites, in fractional coordinates, are Ba at (0.000, 0.000, 0.000), Zr at (0.000, 0.000, 0.500), Be at (0.250, 0.250, 0.750) and Pt at (0.250, 0.250, 0.250).

=====

Entry 7:
Computed, not measured: PrHoBr2O2 after structural relaxation at the GGA-PBE level of DFT.

The value obtained for the total energy is -6.636 eV/atom. The volume is 127.22 Å³/cell. The magnetization comes out at 0.00 μB/cell. The calculation puts the mass density at 6.5 Mg/m³.

It has space group P4mm (No. 99), with a = 3.908 Å, b = 3.908 Å, c = 8.332 Å, α = 90.00°, β = 90.00° and γ = 90.00°. The distinct sites, in fractional coordinates, are Pr at (0.000, 0.000, 0.000), Ho at (0.500, 0.500, 0.283), Br at (0.000, 0.000, 0.481), Br at (0.500, 0.500, 0.805) and O at (0.000, 0.500, 0.154).

=====

Entry 8:
Computed, not measured: HoZrTa after structural relaxation at the GGA-PBE level of DFT.

The value obtained for the energy of formation from the pure elements is 1074 meV per atom. The value obtained for the total energy is -7.251 eV/atom. The volume is 313.98 Å³/cell. The magnetization comes out at 0.03 μB/cell. The calculation puts the mass density at 9.2 Mg/m³. The excess energy over the best structure of this formula in the dataset is 0 meV/atom.

It has space group F-43m (No. 216), with a = 6.797 Å, b = 6.797 Å, c = 6.797 Å, α = 90.00°, β = 90.00° and γ = 90.00°. The distinct sites, in fractional coordinates, are Ho at (0.000, 0.000, 0.000), Zr at (0.250, 0.250, 0.250) and Ta at (0.000, 0.000, 0.500).

=====

Question: Among the records above, which one has the highest volume?
Answer: Dy2YTm2Lu2Ni2Se2